{
  "formula": "HgPtRh2",
  "functional": "PBE",
  "state": "optimized geometry",
  "lattice": [[1.414, -2.438, 0.000], [1.414, 2.438, 0.000], [0.000, 0.000, 9.480]],
  "species": ["Hg", "Pt", "Rh", "Rh"],
  "fractional_positions": [[0.000, 0.000, 0.000], [0.000, 0.000, 0.500], [0.500, 0.500, 0.259], [0.500, 0.500, 0.741]],
  "dft_energy_ev_per_fu": -19.97,
  "dos_at_fermi_per_ev_fu": 5.549,
  "ef_ev_per_atom": 0.268
}